No. 1
First-principles (PBE-GGA) data for crystalline Sc2TlBr at its relaxed geometry, as listed in Alexandria via LeMat-Bulk.

abc: 3.5250 3.6184 7.8249
angles: 90.00 90.00 90.00
Atoms (fractional coordinates):
Sc  0.0000  0.0000  0.2226
Sc  0.0000  0.0000  0.7774
Tl  0.5000  0.5000  0.0000
Br  0.5000  0.0000  0.5000

Values from the calculation:
- Formation energy without anion corrections: -0.53 eV per atom
- DFT total energy: -18.804 eV per formula unit
- Space-group type: Pmmm (47)
- Excess energy over the best structure of this formula in the dataset: 20 meV per atom


No. 2
First-principles (PBE-GGA) data for crystalline Sc2TlBr at its relaxed geometry, as listed in Alexandria via LeMat-Bulk.

abc: 7.4722 7.4722 7.4722
angles: 90.00 90.00 90.00
Atoms (fractional coordinates):
Sc  0.0000  0.0000  0.0000
Sc  0.0000  0.5000  0.5000
Sc  0.2500  0.2500  0.2500
Sc  0.2500  0.7500  0.7500
Sc  0.5000  0.0000  0.5000
Sc  0.5000  0.5000  0.0000
Sc  0.7500  0.2500  0.7500
Sc  0.7500  0.7500  0.2500
Tl  0.0000  0.0000  0.5000
Tl  0.0000  0.5000  0.0000
Tl  0.5000  0.0000  0.0000
Tl  0.5000  0.5000  0.5000
Br  0.2500  0.2500  0.7500
Br  0.2500  0.7500  0.2500
Br  0.7500  0.2500  0.2500
Br  0.7500  0.7500  0.7500

Values from the calculation:
- Formation energy without anion corrections: 0.20 eV per atom
- DFT total energy: -15.901 eV per formula unit
- Space-group type: F-43m (216)
- Excess energy over the best structure of this formula in the dataset: 746 meV per atom


No. 3
First-principles (PBE-GGA) data for crystalline Sc2TlBr at its relaxed geometry, as listed in Alexandria via LeMat-Bulk.

abc: 5.2624 5.2624 3.5414
angles: 90.00 90.00 90.00
Atoms (fractional coordinates):
Sc  0.0000  0.5000  0.0000
Sc  0.5000  0.0000  0.0000
Tl  0.0000  0.0000  0.4987
Br  0.5000  0.5000  0.9973

Values from the calculation:
- Formation energy without anion corrections: -0.55 eV per atom
- DFT total energy: -18.884 eV per formula unit
- Space-group type: P4mm (99)
- Excess energy over the best structure of this formula in the dataset: 0 meV per atom


No. 4
First-principles (PBE-GGA) data for crystalline Sc2TlBr at its relaxed geometry, as listed in Alexandria via LeMat-Bulk.

abc: 3.5881 3.5881 29.0395
angles: 90.00 90.00 120.00
Atoms (fractional coordinates):
Sc  0.0000  0.0000  0.0887
Sc  0.0000  0.0000  0.9113
Sc  0.3333  0.6667  0.5780
Sc  0.3333  0.6667  0.7553
Sc  0.6667  0.3333  0.2447
Sc  0.6667  0.3333  0.4220
Tl  0.0000  0.0000  0.5000
Tl  0.3333  0.6667  0.1667
Tl  0.6667  0.3333  0.8333
Br  0.0000  0.0000  0.0000
Br  0.3333  0.6667  0.6667
Br  0.6667  0.3333  0.3333

Values from the calculation:
- Formation energy without anion corrections: -0.38 eV per atom
- DFT total energy: -18.238 eV per formula unit
- Space-group type: R-3m (166)
- Excess energy over the best structure of this formula in the dataset: 161 meV per atom